PBE K4NaMn3Br12, relaxed; symmetry = Im-3m (229); formation energy (no corrections) = -1.1945 eV per atom; D(E_F) = 5.87 states/eV/cell; M_tot = 14.000 Bohr magnetons per cell
1.0
9.334 0.000 0.000
-3.111 8.800 0.000
-3.111 -4.400 7.621
K Na Mn Br
4 1 3 12
Cartesian
1.556 2.200 3.811
-1.556 -2.200 3.811
4.667 0.000 0.000
-1.556 4.400 0.000
0.000 0.000 0.000
3.111 -2.200 3.811
3.111 4.400 0.000
-3.111 2.200 3.811
-1.556 1.100 5.716
4.569 -3.231 5.595
1.654 -1.170 2.026
4.667 3.300 1.905
4.569 6.461 0.000
1.654 2.339 0.000
4.667 0.000 3.811
-1.556 4.400 3.811
1.556 -1.100 5.716
-4.569 3.231 5.595
1.556 5.500 1.905
-1.654 1.170 2.026

PBE Ho4GaAu, relaxed; symmetry = Cmc2_1 (36); D(E_F) = 12.71 states/eV/cell; formation enthalpy at 0 K = -7.2 kcal/mol of atoms; M_tot = 0.000 Bohr magnetons per cell
1.0
-3.773 -0.484 -3.428
4.121 -1.964 -4.259
0.316 -9.912 4.877
Ho Ga Au
8 2 2
Cartesian
-1.888 -8.482 -0.548
2.862 -4.026 -2.582
2.166 -10.614 -0.885
-0.591 -2.180 -2.866
-0.288 -5.708 -2.701
-0.677 -5.876 1.576
-2.200 -4.245 -0.803
1.373 -7.404 -0.465
0.401 -8.727 -3.034
0.787 -3.883 -0.318
1.392 -3.363 -4.882
0.097 -9.390 1.220

PBE Zn2InHg6, relaxed; symmetry = C2/c (15); D(E_F) = 4.18 states/eV/cell; formation enthalpy at 0 K = 1.6 kcal/mol of atoms; M_tot = 0.000 Bohr magnetons per cell
1.0
5.102 7.104 0.107
-5.102 7.104 0.107
0.000 2.412 6.129
Zn In Hg
4 2 12
Cartesian
0.610 4.565 4.277
0.610 13.261 5.130
-0.610 12.055 2.065
-0.610 3.359 1.213
4.816 8.913 4.704
-4.816 7.707 1.639
-0.208 6.228 2.086
-0.208 9.186 1.192
0.208 10.392 4.257
0.208 7.434 5.150
-2.988 4.833 1.310
-2.988 10.581 1.968
2.988 11.787 5.032
2.988 6.038 4.375
-2.457 10.050 5.793
-2.457 7.776 3.614
2.457 6.570 0.549
2.457 8.844 2.729

PBE BiBPt3, relaxed; symmetry = P6_3/mmc (194); D(E_F) = 4.82 states/eV/cell; relative energy among the computed polymorphs = 112.3 meV/atom; formation enthalpy at 0 K = -2.4 kcal/mol of atoms; M_tot = 0.000 Bohr magnetons per cell
1.0
-3.737 -0.994 3.073
-2.333 -3.993 -4.129
4.038 -1.966 4.275
Bi B Pt
2 2 6
Cartesian
-3.012 -4.063 0.977
0.980 -2.890 2.242
0.000 0.000 0.000
-1.868 -0.497 1.536
-0.991 -5.011 3.128
-0.206 -4.859 0.162
-1.041 -1.942 0.090
-1.825 -2.094 3.057
-2.183 -3.897 -1.931
0.151 -3.057 5.149

PBE Ag6Cl4O, relaxed; symmetry = Cc (9); formation energy (no corrections) = -0.2579 eV per atom; M_tot = 0.000 Bohr magnetons per cell
1.0
7.755 0.000 2.342
3.737 5.889 1.635
0.488 -1.286 12.396
Ag Cl O
12 8 2
Cartesian
6.237 2.909 3.777
6.601 -0.678 9.758
6.754 3.809 6.649
4.580 0.222 11.863
4.280 -0.406 7.803
9.251 3.181 3.433
8.071 0.608 2.821
9.339 2.909 9.581
7.905 1.210 5.745
7.859 3.512 12.108
2.152 -0.383 9.872
9.879 3.204 6.334
5.520 5.092 9.183
3.718 2.791 2.262
6.268 1.078 7.892
8.034 3.380 14.803
2.687 2.628 9.340
5.990 0.327 3.961
6.871 0.988 11.853
4.852 4.576 5.372
8.527 3.690 7.825
2.453 0.103 11.862

PBE PaAlV, relaxed; symmetry = I4mm (107); D(E_F) = 4.02 states/eV/cell; relative energy among the computed polymorphs = 131.8 meV/atom; formation enthalpy at 0 K = 0.1 kcal/mol of atoms; M_tot = 0.000 Bohr magnetons per cell
1.0
2.947 0.000 0.000
0.000 2.947 0.000
-1.473 -1.473 6.349
Pa Al V
1 1 1
Cartesian
0.000 0.000 4.157
0.000 0.000 0.230
1.473 1.473 1.961

Which electronic total energy belongs to each record? In order, -77.18; -52.96; -12.96; -58.42; -64.58; -22.34 eV/cell.